Computed, not measured: a relaxed Sc2W3O12 crystal at the GGA+U level of DFT.

Summary:
Its energy is -7.9411 eV/atom. As for the crystal system: monoclinic. The energy relative to the lowest polymorph listed for this composition comes out at 0.0163 eV/atom. Its magnetization is 0.000 Bohr magnetons per cell.

Cell lengths 6.9702, 5.8203, 11.0118 Å; angles 90.00, 106.13, 90.00 degrees
Space group P2/c (No. 13)
One atom of each set of equivalent atoms:
1 Sc 0.1845 0.1581 0.0944 (multiplicity 4)
2 W 0.0000 0.3234 0.7500 (multiplicity 2)
3 W 0.3369 0.3318 0.4259 (multiplicity 4)
4 O 0.1421 0.1326 0.4574 (multiplicity 4)
5 O 0.1442 0.3830 0.9290 (multiplicity 4)
6 O 0.1691 0.1200 0.7099 (multiplicity 4)
7 O 0.1906 0.3906 0.2427 (multiplicity 4)
8 O 0.4693 0.4033 0.5937 (multiplicity 4)
9 O 0.4851 0.1334 0.1108 (multiplicity 4)